Entry 1:
A relaxed structure of YHoP. Source: Alexandria via LeMat-Bulk, functional PBE-GGA.

Calculated values
energy = -6.47 eV/atom
DFT formation energy = -0.9873 eV/atom
total magnetization = 0.0 μB/f.u.
mass density = 5.68 g cm⁻³

Unit cell a=3.898 b=3.898 c=6.330 alpha=90.00 beta=90.00 gamma=120.00
Each line ends with the local moment (μB).
Atoms (fractional coordinates):
Y1 0.000 0.000 0.083  0.08
P1 0.667 0.333 0.335  0.00
Ho1 0.333 0.667 0.582  -0.11

=====

Entry 2:
A relaxed structure of YHo5P6. Source: Alexandria via LeMat-Bulk, functional PBE-GGA.

Calculated values
energy = -6.77 eV/atom
DFT formation energy = -1.6177 eV/atom
total magnetization = 0.0 μB/f.u.
mass density = 6.76 g cm⁻³

Unit cell a=6.914 b=6.917 c=6.915 alpha=59.99 beta=80.40 gamma=70.52
Atoms (fractional coordinates):
Ho1 0.000 0.667 0.667
Ho2 0.000 0.333 0.333
Ho3 0.500 0.167 0.667
Ho4 0.500 0.833 0.333
Ho5 0.500 0.500 0.000
Y1 0.000 0.000 0.000
P1 0.251 0.582 0.334
P2 0.251 0.251 0.000
P3 0.749 0.418 0.666
P4 0.749 0.749 0.000
P5 0.749 0.084 0.334
P6 0.251 0.916 0.666

=====

Entry 3:
A relaxed structure of Y5HoP6. Source: Alexandria via LeMat-Bulk, functional PBE-GGA.

Calculated values
energy = -7.41 eV/atom
DFT formation energy = -1.6272 eV/atom
total magnetization = 0.0 μB/f.u.
mass density = 4.83 g cm⁻³

Unit cell a=6.945 b=6.947 c=6.945 alpha=59.99 beta=80.40 gamma=70.52
Atoms (fractional coordinates):
P1 0.249 0.917 0.668
P2 0.751 0.083 0.332
P3 0.249 0.249 0.000
P4 0.751 0.751 0.000
P5 0.249 0.585 0.332
P6 0.751 0.415 0.668
Ho1 0.000 0.000 0.000
Y1 0.500 0.833 0.334
Y2 0.000 0.333 0.333
Y3 0.500 0.500 0.000
Y4 0.500 0.167 0.666
Y5 0.000 0.667 0.667

=====

Entry 4:
A relaxed structure of Y3HoP4. Source: Alexandria via LeMat-Bulk, functional PBE-GGA.

Calculated values
energy = -7.33 eV/atom
DFT formation energy = -1.6255 eV/atom
total magnetization = 0.0 μB/f.u.
mass density = 5.07 g cm⁻³

Unit cell a=4.008 b=6.940 c=6.940 alpha=109.47 beta=90.00 gamma=90.00
Atoms (fractional coordinates):
Y1 0.500 0.500 0.500
Y2 0.000 0.000 0.500
Y3 0.000 0.500 0.000
P1 0.500 0.249 0.751
P2 0.000 0.751 0.751
P3 0.000 0.249 0.249
P4 0.500 0.751 0.249
Ho1 0.500 0.000 0.000

=====

Entry 5:
A relaxed structure of YHo2P3. Source: Alexandria via LeMat-Bulk, functional PBE-GGA.

Calculated values
energy = -6.93 eV/atom
DFT formation energy = -1.6200 eV/atom
total magnetization = 0.0 μB/f.u.
mass density = 6.28 g cm⁻³

Unit cell a=5.649 b=7.981 c=12.003 alpha=90.00 beta=90.00 gamma=90.00
Atoms (fractional coordinates):
Y1 0.250 0.875 0.083
Y2 0.750 0.125 0.917
Y3 0.750 0.625 0.583
Y4 0.250 0.375 0.417
Ho1 0.250 0.875 0.417
Ho2 0.250 0.875 0.750
Ho3 0.250 0.375 0.750
Ho4 0.250 0.375 0.083
Ho5 0.750 0.625 0.917
Ho6 0.750 0.125 0.250
Ho7 0.750 0.125 0.583
Ho8 0.750 0.625 0.250
P1 0.750 0.876 0.416
P2 0.250 0.624 0.916
P3 0.750 0.374 0.416
P4 0.250 0.124 0.584
P5 0.250 0.625 0.250
P6 0.250 0.626 0.584
P7 0.750 0.375 0.750
P8 0.750 0.875 0.750
P9 0.250 0.126 0.916
P10 0.750 0.874 0.084
P11 0.250 0.125 0.250
P12 0.750 0.376 0.084

=====

Entry 6:
A relaxed structure of YHo2ZrP4. Source: Alexandria via LeMat-Bulk, functional PBE-GGA.

Calculated values
energy = -7.28 eV/atom
DFT formation energy = -1.5539 eV/atom
total magnetization = 0.0 μB/f.u.
mass density = 6.17 g cm⁻³

Unit cell a=3.918 b=6.794 c=6.792 alpha=109.28 beta=90.00 gamma=90.00
Atoms (fractional coordinates):
P1 0.500 0.760 0.759
P2 0.000 0.243 0.754
P3 0.000 0.757 0.246
P4 0.500 0.240 0.241
Y1 0.500 0.500 0.000
Ho1 0.500 0.000 0.500
Ho2 0.000 0.500 0.500
Zr1 0.000 0.000 0.000

=====

Entry 7:
A relaxed structure of HoZnP. Source: Alexandria via LeMat-Bulk, functional PBE-GGA.

Calculated values
energy = -4.53 eV/atom
DFT formation energy = -0.7805 eV/atom
total magnetization = 0.0 μB/f.u.
mass density = 7.90 g cm⁻³

Unit cell a=3.832 b=4.067 c=4.067 alpha=120.00 beta=90.00 gamma=90.00
Atoms (fractional coordinates):
P1 0.167 0.000 0.000
Ho1 0.667 0.667 0.333
Zn1 0.167 0.333 0.667

=====

Entry 8:
A relaxed structure of HoZnP2. Source: Alexandria via LeMat-Bulk, functional PBE-GGA.

Calculated values
energy = -4.57 eV/atom
DFT formation energy = -0.4022 eV/atom
total magnetization = 0.0 μB/f.u.
mass density = 4.51 g cm⁻³

Unit cell a=4.077 b=4.077 c=7.844 alpha=74.94 beta=74.94 gamma=60.00
Atoms (fractional coordinates):
P1 0.099 0.099 0.704
P2 0.901 0.901 0.296
Ho1 0.500 0.500 0.500
Zn1 0.000 0.000 0.000

=====

Entry 9:
A relaxed structure of HoZrP2. Source: Alexandria via LeMat-Bulk, functional PBE-GGA.

Calculated values
energy = -7.36 eV/atom
DFT formation energy = -1.3686 eV/atom
relative energy among the computed polymorphs = 118 meV per atom
total magnetization = 0.0 μB/f.u.
mass density = 6.40 g cm⁻³

Unit cell a=3.791 b=3.791 c=6.983 alpha=74.25 beta=74.25 gamma=60.00
Atoms (fractional coordinates):
Zr1 0.497 0.497 0.509
P1 0.245 0.245 0.264
P2 0.086 0.086 0.741
Ho1 0.671 0.671 0.986

=====

Entry 10:
A relaxed structure of HoZrP. Source: Alexandria via LeMat-Bulk, functional PBE-GGA.

Calculated values
energy = -6.69 eV/atom
DFT formation energy = -0.5071 eV/atom
relative energy among the computed polymorphs = 321 meV per atom
total magnetization = 0.0 μB/f.u.
mass density = 7.08 g cm⁻³

Unit cell a=3.910 b=4.459 c=4.459 alpha=120.00 beta=90.00 gamma=90.00
Atoms (fractional coordinates):
Zr1 0.167 0.333 0.667
Ho1 0.667 0.667 0.333
P1 0.166 0.000 0.000

=====

Entry 11:
A relaxed structure of HoZr3P4. Source: Alexandria via LeMat-Bulk, functional PBE-GGA.

Calculated values
energy = -7.88 eV/atom
DFT formation energy = -1.3994 eV/atom
total magnetization = 0.0 μB/f.u.
mass density = 6.03 g cm⁻³

Unit cell a=3.791 b=6.584 c=6.584 alpha=70.62 beta=90.00 gamma=90.00
Atoms (fractional coordinates):
Zr1 0.000 0.000 0.000
Zr2 0.500 0.000 0.500
Zr3 0.000 0.500 0.500
P1 0.500 0.246 0.746
P2 0.000 0.242 0.258
P3 0.500 0.754 0.254
P4 0.000 0.758 0.742
Ho1 0.500 0.500 0.000

=====

Entry 12:
A relaxed structure of HoZr2P3. Source: Alexandria via LeMat-Bulk, functional PBE-GGA.

Calculated values
energy = -7.72 eV/atom
DFT formation energy = -1.4049 eV/atom
total magnetization = 0.0 μB/f.u.
mass density = 6.19 g cm⁻³

Unit cell a=3.821 b=3.820 c=8.531 alpha=102.95 beta=102.95 gamma=89.95
Atoms (fractional coordinates):
P1 0.604 0.606 0.214
P2 0.264 0.266 0.534
P3 0.934 0.936 0.874
Zr1 0.101 0.102 0.207
Zr2 0.768 0.769 0.541
Ho1 0.434 0.436 0.874

=====

Entry 13:
A relaxed structure of Ho4ZrP5. Source: Alexandria via LeMat-Bulk, functional PBE-GGA.

Calculated values
energy = -6.95 eV/atom
DFT formation energy = -1.5618 eV/atom
total magnetization = 0.0 μB/f.u.
mass density = 7.02 g cm⁻³

Unit cell a=5.562 b=6.803 c=6.803 alpha=80.38 beta=65.87 gamma=65.87
Atoms (fractional coordinates):
P1 0.293 0.806 0.610
P2 0.501 0.000 0.000
P3 0.709 0.194 0.390
P4 0.903 0.390 0.806
P5 0.099 0.610 0.194
Ho1 0.201 0.203 0.398
Ho2 0.599 0.602 0.203
Ho3 0.801 0.797 0.602
Ho4 0.403 0.398 0.797
Zr1 0.001 0.000 0.000